--- a ---
Below is a relaxed Ti2Be2Sn crystal, with properties calculated at the PBE level.

```
data_Ti2Be2Sn
_chemical_formula_sum 'Ti4 Be4 Sn2'
_space_group_name_H-M_alt 'P 4/m b m'
_space_group_IT_number 127
_space_group_name_Hall '-P 4 2ab'
_cell_length_a 6.222
_cell_length_b 6.222
_cell_length_c 3.695
_cell_angle_alpha 90.00
_cell_angle_beta 90.00
_cell_angle_gamma 90.00
loop_
_atom_site_label
_atom_site_type_symbol
_atom_site_fract_x
_atom_site_fract_y
_atom_site_fract_z
_atom_site_occupancy
Ti1 Ti 0.167 0.333 0.000 1
Be1 Be 0.117 0.617 0.500 1
Sn1 Sn 0.000 0.000 0.500 1
```

--- b ---
Below is a relaxed Ti2Be2Sn crystal, with properties calculated at the PBE level.

```
data_Ti2Be2Sn
_chemical_formula_sum 'Ti4 Be4 Sn2'
_space_group_name_H-M_alt 'C m m m'
_space_group_IT_number 65
_space_group_name_Hall '-C 2 2'
_cell_length_a 3.461
_cell_length_b 11.956
_cell_length_c 3.510
_cell_angle_alpha 90.00
_cell_angle_beta 90.00
_cell_angle_gamma 90.00
loop_
_atom_site_label
_atom_site_type_symbol
_atom_site_fract_x
_atom_site_fract_y
_atom_site_fract_z
_atom_site_occupancy
Ti1 Ti 0.000 0.148 0.000 1
Be1 Be 0.000 0.296 0.500 1
Sn1 Sn 0.000 0.500 0.500 1
```

It comes down to b, which is 23 meV per atom more stable than the next structure.

--- a ---
Below is a relaxed BeTlSn3 crystal, with properties calculated at the PBE level.

```
data_BeTlSn3
_chemical_formula_sum 'Be1 Tl1 Sn3'
_space_group_name_H-M_alt 'P m -3 m'
_space_group_IT_number 221
_space_group_name_Hall '-P 4 2 3'
_cell_length_a 5.061
_cell_length_b 5.061
_cell_length_c 5.061
_cell_angle_alpha 90.00
_cell_angle_beta 90.00
_cell_angle_gamma 90.00
loop_
_atom_site_label
_atom_site_type_symbol
_atom_site_fract_x
_atom_site_fract_y
_atom_site_fract_z
_atom_site_occupancy
Be1 Be 0.000 0.000 0.000 1
Tl1 Tl 0.500 0.500 0.500 1
Sn1 Sn 0.000 0.000 0.500 1
```

--- b ---
Below is a relaxed BeTlSn3 crystal, with properties calculated at the PBE level.

```
data_BeTlSn3
_chemical_formula_sum 'Be1 Tl1 Sn3'
_space_group_name_H-M_alt 'P m -3 m'
_space_group_IT_number 221
_space_group_name_Hall '-P 4 2 3'
_cell_length_a 5.729
_cell_length_b 5.729
_cell_length_c 5.729
_cell_angle_alpha 90.00
_cell_angle_beta 90.00
_cell_angle_gamma 90.00
loop_
_atom_site_label
_atom_site_type_symbol
_atom_site_fract_x
_atom_site_fract_y
_atom_site_fract_z
_atom_site_occupancy
Be1 Be 0.000 0.000 0.000 1
Tl1 Tl 0.500 0.500 0.500 1
Sn1 Sn 0.000 0.500 0.500 1
```

It comes down to a, which is 960 meV per atom more stable than the next structure.